Entry 1:
Entry from Alexandria via LeMat-Bulk: a geometry-optimized Ac6Ge3F structure (PBE).

Symmetry   P2_1/c (14)
Formation energy from raw total energies   -0.914 eV/atom
Magnetization   2.4 μB/cell
Calculated volume   667.2 Å³/cell

```
Ac6Ge3F
1.0
7.1420 0.0000 -0.2145
0.0000 8.4223 0.0000
-0.2368 0.0000 11.0994
Ac Ge F
12 6 2
direct
0.1492 0.3090 0.0679
0.8508 0.6910 0.9321
0.1540 0.3280 0.4289
0.6540 0.1720 0.9289
0.8460 0.6720 0.5711
0.1568 0.0394 0.7578
0.3432 0.5394 0.7422
0.6568 0.4606 0.2578
0.6492 0.1910 0.5679
0.3460 0.8280 0.0711
0.3508 0.8090 0.4321
0.8432 0.9606 0.2422
0.0000 0.0000 0.5000
0.0735 0.6229 0.2371
0.5735 0.8771 0.7371
0.5000 0.5000 0.0000
0.4265 0.1229 0.2629
0.9265 0.3771 0.7629
0.5000 0.5000 0.5000
0.0000 0.0000 0.0000
```


Entry 2:
Entry from Alexandria via LeMat-Bulk: a geometry-optimized Ac4Ge2F5 structure (PBE).

Symmetry   C2/m (12)
Formation energy from raw total energies   -2.671 eV/atom
Magnetization   0.0 μB/cell
Calculated volume   237.6 Å³/cell

```
Ac4Ge2F5
1.0
-2.3804 0.4598 -3.5230
-6.2695 -2.4875 3.9114
-3.4192 5.2422 5.5900
Ac F Ge
4 5 2
direct
0.2491 0.2510 0.4982
0.9999 0.2470 0.9999
0.0001 0.7530 0.0001
0.7509 0.7490 0.5018
0.8146 0.3605 0.6291
0.1853 0.9907 0.3707
0.5000 0.0000 0.0000
0.1854 0.6395 0.3709
0.8147 0.0093 0.6293
0.5892 0.4114 0.1784
0.4108 0.5886 0.8216
```


Entry 3:
Entry from Alexandria via LeMat-Bulk: a geometry-optimized AcGe2F8 structure (PBE).

Symmetry   C2/m (12)
Formation energy from raw total energies   -2.747 eV/atom
Magnetization   0.0 μB/cell
Calculated volume   168.3 Å³/cell

```
AcGe2F8
1.0
0.4496 -6.1342 -1.6443
5.7786 -0.1750 -1.4364
4.7735 -1.5001 3.2325
F Ac Ge
8 1 2
direct
0.3762 0.9096 0.9096
0.6238 0.0904 0.0904
0.1572 0.3912 0.3912
0.7864 0.5977 0.0856
0.2136 0.4023 0.9144
0.8428 0.6088 0.6088
0.7864 0.0856 0.5977
0.2136 0.9144 0.4023
0.0000 0.0000 0.0000
0.3720 0.2321 0.2321
0.6280 0.7679 0.7679
```


Entry 4:
Entry from Alexandria via LeMat-Bulk: a geometry-optimized Ac3Ge2F structure (PBE).

Symmetry   C2/c (15)
Polymorph energy (0 for the lowest one)   0.634 eV/f.u.
Formation energy from raw total energies   -1.325 eV/atom
Magnetization   0.0 μB/cell
Calculated volume   386.3 Å³/cell

```
Ac3Ge2F
1.0
-5.6118 0.1061 3.0971
-1.5588 -8.5120 -2.5328
6.2242 -0.0622 4.6456
Ge Ac F
4 6 2
direct
0.6666 0.5848 0.3314
0.6648 0.0848 0.3314
0.3352 0.9152 0.6686
0.3334 0.4152 0.6686
0.4557 0.2500 0.0000
0.5443 0.7500 0.0000
0.1683 0.5806 0.3385
0.8317 0.4194 0.6615
0.8297 0.9194 0.6615
0.1703 0.0806 0.3385
0.9330 0.7500 0.0000
0.0670 0.2500 0.0000
```